# 1
Pu2Ge2Ru (PBE, relaxed); calculated formation energy = -436 meV per atom; energy above the most stable polymorph in this dataset = 0 meV per atom; E_tot = -9.8709 eV/atom
1.0
5.300 -2.178 0.000
5.300 2.178 0.000
-5.202 0.000 9.052
Pu Ge Ru
4 4 2
Direct
0.090 0.090 0.404
0.328 0.328 0.820
0.672 0.672 0.180
0.910 0.910 0.596
0.074 0.074 0.925
0.371 0.371 0.373
0.629 0.629 0.627
0.926 0.926 0.075
0.341 0.341 0.115
0.659 0.659 0.885

# 2
Pu2Ge3Ru (PBE, relaxed); calculated formation energy = -145 meV per atom; energy above the most stable polymorph in this dataset = 238 meV per atom; E_tot = -8.7773 eV/atom
1.0
-2.174 2.750 5.318
2.174 -2.750 5.318
2.174 2.750 -5.318
Pu Ge Ru
2 3 1
Direct
0.184 0.184 0.000
0.816 0.816 0.000
0.000 0.500 0.500
0.375 0.875 0.500
0.625 0.125 0.500
0.500 0.500 0.000

| no. | DOS(E_F) (states/eV/cell) |
| --- | --- |
| 1 | 35.8 |
| 2 | 19.8 |